Density functional theory data (PBE) for crystalline NpMnFeSn at its relaxed geometry.

```
data_NpMnFeSn
_chemical_formula_sum 'Np1 Mn1 Fe1 Sn1'
_space_group_name_H-M_alt 'P 1'
_space_group_IT_number 1
_cell_length_a 4.588
_cell_length_b 4.588
_cell_length_c 4.588
_cell_angle_alpha 60.00
_cell_angle_beta 60.00
_cell_angle_gamma 60.00
loop_
_space_group_symop_operation_xyz
'x,y,z'
loop_
_atom_site_label
_atom_site_type_symbol
_atom_site_fract_x
_atom_site_fract_y
_atom_site_fract_z
Np1 Np 0.750 0.750 0.750
Mn1 Mn 0.000 0.000 0.000
Sn1 Sn 0.250 0.250 0.250
Fe1 Fe 0.500 0.500 0.500
```

Summary:
Magnetic moment, μB per formula unit: 0.2
Calculated formation energy, eV/atom: 0.0732
Symmetry: F-43m (216)